#w
Material: Pa2BF
Method: DFT, PBE
State: optimized geometry

Results
ρ ... 11.87 g cm⁻³

abc: 3.721 3.721 6.127
angles: 72.32 72.32 60.00
Fractional positions:
1 Pa 0.254 0.254 0.239
2 Pa 0.746 0.746 0.761
3 B 0.000 0.000 0.000
4 F 0.500 0.500 0.500



#x
Material: Pa2BF
Method: DFT, PBE
State: optimized geometry

Results
ρ ... 12.38 g cm⁻³

abc: 3.178 3.178 6.535
angles: 90.00 90.00 90.00
Last column: magnetic moment on the atom in μB.
Fractional positions:
1 F 0.500 0.500 0.000  0.01
2 Pa 0.000 0.000 0.282  0.79
3 Pa 0.000 0.000 0.718  0.79
4 B 0.500 0.500 0.500  -0.04



Least stable: #x



#w
Material: B3PbF
Method: DFT, PBE
State: optimized geometry

Results
ρ ... 4.01 g cm⁻³

abc: 4.749 4.749 4.749
angles: 90.00 90.00 90.00
Fractional positions:
1 B 0.500 0.000 0.000
2 B 0.000 0.500 0.000
3 B 0.000 0.000 0.500
4 F 0.500 0.500 0.500
5 Pb 0.000 0.000 0.000



#x
Material: B3PbF
Method: DFT, PBE
State: optimized geometry

Results
ρ ... 6.09 g cm⁻³

abc: 4.132 4.132 4.132
angles: 90.00 90.00 90.00
Fractional positions:
1 B 0.000 0.500 0.000
2 B 0.500 0.000 0.000
3 B 0.000 0.000 0.500
4 F 0.000 0.000 0.000
5 Pb 0.500 0.500 0.500



Least stable: #w



#w
Material: BPb2F
Method: DFT, PBE
State: optimized geometry

Results
ρ ... 7.70 g cm⁻³

abc: 5.616 5.616 7.255
angles: 67.23 67.23 90.00
Fractional positions:
1 Pb 0.607 0.125 0.250
2 Pb 0.875 0.857 0.750
3 Pb 0.143 0.625 0.250
4 Pb 0.375 0.393 0.750
5 B 0.250 0.750 0.500
6 B 0.500 0.500 0.000
7 F 0.000 0.000 0.000
8 F 0.750 0.250 0.500



#x
Material: BPb2F
Method: DFT, PBE
State: optimized geometry

Results
ρ ... 10.14 g cm⁻³

abc: 4.686 4.686 4.686
angles: 60.00 60.00 60.00
Fractional positions:
1 B 0.000 0.000 0.000
2 Pb 0.250 0.250 0.250
3 Pb 0.750 0.750 0.750
4 F 0.500 0.500 0.500



Least stable: #x



#w
Material: BPd2F
Method: DFT, PBE
State: optimized geometry

Results
ρ ... 8.96 g cm⁻³

abc: 3.991 3.991 3.991
angles: 60.00 60.00 60.00
Fractional positions:
1 Pd 0.750 0.750 0.750
2 Pd 0.250 0.250 0.250
3 B 0.000 0.000 0.000
4 F 0.500 0.500 0.500



#x
Material: BPd2F
Method: DFT, PBE
State: optimized geometry

Results
ρ ... 7.58 g cm⁻³

abc: 5.831 5.831 5.174
angles: 55.71 55.71 90.00
Fractional positions:
1 Pd 0.375 0.426 0.750
2 Pd 0.176 0.625 0.250
3 Pd 0.574 0.125 0.250
4 Pd 0.875 0.824 0.750
5 B 0.500 0.500 0.000
6 B 0.250 0.750 0.500
7 F 0.750 0.250 0.500
8 F 0.000 0.000 0.000



Least stable: #w



#w
Material: BPdF2
Method: DFT, PBE
State: optimized geometry

Results
ρ ... 4.08 g cm⁻³

abc: 10.134 10.134 10.134
angles: 15.30 15.30 15.30
Last column: magnetic moment on the atom in μB.
Fractional positions:
1 Pd 0.500 0.500 0.500  0.20
2 F 0.955 0.955 0.955  0.13
3 F 0.045 0.045 0.045  0.13
4 B 0.000 0.000 0.000  0.23



#x
Material: BPdF2
Method: DFT, PBE
State: optimized geometry

Results
ρ ... 5.11 g cm⁻³

abc: 5.225 5.225 5.225
angles: 60.00 60.00 60.00
Fractional positions:
1 Pd 0.500 0.500 0.500
2 Pd 0.750 0.750 0.750
3 F 0.125 0.125 0.125
4 F 0.125 0.125 0.625
5 F 0.625 0.125 0.125
6 F 0.125 0.625 0.125
7 B 0.250 0.250 0.250
8 B 0.000 0.000 0.000



#y
Material: BPdF2
Method: DFT, PBE
State: optimized geometry

Results
ρ ... 5.52 g cm⁻³

abc: 4.042 4.042 4.042
angles: 60.00 60.00 60.00
Last column: magnetic moment on the atom in μB.
Fractional positions:
1 F 0.250 0.250 0.250  0.10
2 F 0.750 0.750 0.750  0.10
3 B 0.000 0.000 0.000  0.00
4 Pd 0.500 0.500 0.500  0.81



Least stable: #y



#w
Material: B3PdF
Method: DFT, PBE
State: optimized geometry

Results
ρ ... 5.00 g cm⁻³

abc: 3.744 3.744 3.744
angles: 90.00 90.00 90.00
Fractional positions:
1 F 0.000 0.000 0.000
2 B 0.000 0.000 0.500
3 B 0.000 0.500 0.000
4 B 0.500 0.000 0.000
5 Pd 0.500 0.500 0.500



#x
Material: B3PdF
Method: DFT, PBE
State: optimized geometry

Results
ρ ... 3.94 g cm⁻³

abc: 4.053 4.053 4.053
angles: 90.00 90.00 90.00
Fractional positions:
1 B 0.500 0.000 0.000
2 B 0.000 0.500 0.000
3 B 0.000 0.000 0.500
4 F 0.500 0.500 0.500
5 Pd 0.000 0.000 0.000



Least stable: #w



#w
Material: B3PtF
Method: DFT, PBE
State: optimized geometry

Results
ρ ... 6.03 g cm⁻³

abc: 4.079 4.079 4.079
angles: 90.00 90.00 90.00
Fractional positions:
1 B 0.000 0.500 0.000
2 B 0.500 0.000 0.000
3 B 0.000 0.000 0.500
4 F 0.500 0.500 0.500
5 Pt 0.000 0.000 0.000



#x
Material: B3PtF
Method: DFT, PBE
State: optimized geometry

Results
ρ ... 8.23 g cm⁻³

abc: 3.678 3.678 3.678
angles: 90.00 90.00 90.00
Fractional positions:
1 B 0.000 0.500 0.000
2 B 0.000 0.000 0.500
3 B 0.500 0.000 0.000
4 Pt 0.500 0.500 0.500
5 F 0.000 0.000 0.000



Least stable: #x



#w
Material: Rb2BF5
Method: DFT, PBE
State: optimized geometry

Results
ρ ... 3.13 g cm⁻³

abc: 5.251 8.739 12.801
angles: 90.00 90.00 89.40
Last column: magnetic moment on the atom in μB.
Fractional positions:
1 F 0.689 0.829 0.973  0.00
2 F 0.242 0.463 0.363  0.00
3 F 0.720 0.294 0.707  0.00
4 F 0.280 0.206 0.207  0.00
5 F 0.758 0.037 0.863  0.00
6 F 0.280 0.706 0.293  0.00
7 F 0.077 0.857 0.889  0.00
8 F 0.758 0.537 0.637  0.00
9 F 0.077 0.357 0.611  0.00
10 F 0.720 0.794 0.793  0.00
11 F 0.243 0.447 0.881  -0.08
12 F 0.757 0.053 0.381  -0.08
13 F 0.243 0.947 0.619  -0.08
14 F 0.923 0.143 0.111  0.00
15 F 0.311 0.171 0.027  0.00
16 F 0.242 0.963 0.137  0.00
17 F 0.689 0.329 0.527  0.00
18 F 0.757 0.553 0.119  -0.08
19 F 0.311 0.671 0.473  0.00
20 F 0.923 0.643 0.389  0.00
21 Rb 0.741 0.353 0.282  0.00
22 Rb 0.253 0.137 0.446  0.00
23 Rb 0.741 0.853 0.218  0.00
24 Rb 0.259 0.147 0.782  0.00
25 Rb 0.259 0.647 0.718  0.00
26 Rb 0.253 0.637 0.054  0.00
27 Rb 0.747 0.363 0.946  0.00
28 Rb 0.747 0.863 0.554  0.00
29 B 0.809 0.879 0.881  0.00
30 B 0.191 0.621 0.381  0.00
31 B 0.191 0.121 0.119  0.00
32 B 0.809 0.379 0.619  0.00



#x
Material: Rb2BF5
Method: DFT, PBE
State: optimized geometry

Results
ρ ... 3.02 g cm⁻³

abc: 6.261 6.261 6.557
angles: 127.96 127.96 79.08
Last column: magnetic moment on the atom in μB.
Fractional positions:
1 F 0.793 0.793 0.591  0.00
2 F 0.179 0.179 0.964  0.00
3 F 0.199 0.906 0.098  0.00
4 F 0.906 0.199 0.098  0.00
5 F 0.684 0.684 0.930  0.07
6 B 0.014 0.014 0.939  0.00
7 Rb 0.245 0.758 0.467  0.00
8 Rb 0.758 0.245 0.467  0.00



Least stable: #x